No. 1
DFT (PBE) results for crystalline TbTm4Th at its relaxed geometry.

excess energy over the best structure of this formula in the dataset: 0.0 kJ/mol of formula units
ΔH_f (0 K): 0.023 eV per atom
density of states at the Fermi level: 1.376 states/eV/atom
electronic total energy: -29.80 eV/cell
ρ: 9.603 g cm⁻³

a b c (Å): 3.519 6.087 9.303
angles (deg): 77.28 79.10 73.28
Space group P-1 (No. 2)
Inequivalent atoms, fractional coordinates:
Tb  0.000  0.000  0.000 [1 per cell]
Tm  0.333  0.504  0.830 [2 per cell]
Tm  0.333  0.996  0.338 [2 per cell]
Th  0.000  0.500  0.500 [1 per cell]

No. 2
DFT (PBE) results for crystalline Tb3Tm6Th at its relaxed geometry.

excess energy over the best structure of this formula in the dataset: 159.8 kJ/mol of formula units
ΔH_f (0 K): 0.319 eV per atom
density of states at the Fermi level: 1.894 states/eV/atom
electronic total energy: -134.86 eV/cell
ρ: 8.967 g cm⁻³

a b c (Å): 9.7377 9.7377 11.6524
angles (deg): 90.00 90.00 120.00
Space group R32 (No. 155, hexagonal axes)
Inequivalent atoms, fractional coordinates:
Tb  0.0000  0.0000  0.0000 [3 per cell]
Tb  0.0000  0.0000  0.2421 [6 per cell]
Tm  0.0000  0.3322  0.5000 [9 per cell]
Tm  0.0000  0.6654  0.0000 [9 per cell]
Th  0.0000  0.0000  0.5000 [3 per cell]

No. 3
DFT (PBE) results for crystalline Tb3TmTh2 at its relaxed geometry.

excess energy over the best structure of this formula in the dataset: 0.0 kJ/mol of formula units
ΔH_f (0 K): 0.028 eV per atom
density of states at the Fermi level: 1.260 states/eV/atom
electronic total energy: -66.07 eV/cell
ρ: 9.676 g cm⁻³

a b c (Å): 10.015 3.571 10.649
angles (deg): 90.00 90.19 90.00
Space group P2_1/m (No. 11)
Inequivalent atoms, fractional coordinates:
Tb  0.124  0.250  0.251 [2 per cell]
Tb  0.134  0.250  0.918 [2 per cell]
Tb  0.369  0.750  0.417 [2 per cell]
Tm  0.375  0.750  0.750 [2 per cell]
Th  0.123  0.250  0.583 [2 per cell]
Th  0.380  0.750  0.083 [2 per cell]

Question: The highest ρ belongs to which entry?
Answer: Tb3TmTh2